No. 1
# CePaTi | Alexandria | PBE-GGA | relaxed
# - energy relative to the lowest polymorph listed for this composition (meV per atom) = 67
# - uncorrected energy (eV/cell) = -22.67
data_CePaTi
_symmetry_space_group_name_H-M 'P 3 m 1'
_symmetry_Int_Tables_number 156
_cell_length_a 5.1150
_cell_length_b 5.1150
_cell_length_c 2.9888
_cell_angle_alpha 90.00
_cell_angle_beta 90.00
_cell_angle_gamma 120.00
loop_
_symmetry_equiv_pos_as_xyz
'x,y,z'
'-y,x-y,z'
'-x+y,-x,z'
'-y,-x,z'
'-x+y,y,z'
'x,x-y,z'
loop_
_atom_site_label
_atom_site_type_symbol
_atom_site_fract_x
_atom_site_fract_y
_atom_site_fract_z
_atom_site_occupancy
Ce1 Ce 0.0000 0.0000 0.0000 1
Pa1 Pa 0.6667 0.3333 0.5050 1
Ti1 Ti 0.3333 0.6667 0.0101 1

No. 2
# CePa2Ti | Alexandria | PBE-GGA | relaxed
# - energy relative to the lowest polymorph listed for this composition (meV per atom) = 73
# - uncorrected energy (eV/cell) = -32.07
data_CePa2Ti
_symmetry_space_group_name_H-M 'P 4/m m m'
_symmetry_Int_Tables_number 123
_symmetry_space_group_name_Hall '-P 4 2'
_cell_length_a 4.558
_cell_length_b 4.558
_cell_length_c 4.546
_cell_angle_alpha 90.00
_cell_angle_beta 90.00
_cell_angle_gamma 90.00
loop_
_atom_site_label
_atom_site_type_symbol
_atom_site_fract_x
_atom_site_fract_y
_atom_site_fract_z
_atom_site_occupancy
Ce1 Ce 0.000 0.000 0.000 1
Pa1 Pa 0.000 0.500 0.500 1
Ti1 Ti 0.500 0.500 0.000 1

No. 3
# CePaTi2 | Alexandria | PBE-GGA | relaxed
# - energy relative to the lowest polymorph listed for this composition (meV per atom) = 23
# - uncorrected energy (eV/cell) = -30.36
data_CePaTi2
_symmetry_space_group_name_H-M 'P 4/m m m'
_symmetry_Int_Tables_number 123
_symmetry_space_group_name_Hall '-P 4 2'
_cell_length_a 4.245
_cell_length_b 4.245
_cell_length_c 4.787
_cell_angle_alpha 90.00
_cell_angle_beta 90.00
_cell_angle_gamma 90.00
loop_
_atom_site_label
_atom_site_type_symbol
_atom_site_fract_x
_atom_site_fract_y
_atom_site_fract_z
_atom_site_occupancy
Ce1 Ce 0.000 0.000 0.000 1
Pa1 Pa 0.500 0.500 0.000 1
Ti1 Ti 0.000 0.500 0.500 1

No. 4
# CePaTi | Alexandria | PBE-GGA | relaxed
# - energy relative to the lowest polymorph listed for this composition (meV per atom) = 0
# - uncorrected energy (eV/cell) = -45.74
data_CePaTi
_symmetry_space_group_name_H-M 'P -1'
_symmetry_Int_Tables_number 2
_cell_length_a 3.220
_cell_length_b 5.232
_cell_length_c 8.086
_cell_angle_alpha 89.95
_cell_angle_beta 82.96
_cell_angle_gamma 89.97
loop_
_symmetry_equiv_pos_as_xyz
'x,y,z'
'-x,-y,-z'
loop_
_atom_site_label
_atom_site_type_symbol
_atom_site_fract_x
_atom_site_fract_y
_atom_site_fract_z
_atom_site_occupancy
Ce1 Ce 0.134 0.250 0.365 1
Pa1 Pa 0.462 0.250 0.724 1
Ti1 Ti 0.191 0.750 0.968 1

No. 5
# CePa2Ti | Alexandria | PBE-GGA | relaxed
# - energy relative to the lowest polymorph listed for this composition (meV per atom) = 127
# - uncorrected energy (eV/cell) = -127.44
data_CePa2Ti
_symmetry_space_group_name_H-M 'F m -3 m'
_symmetry_Int_Tables_number 225
_symmetry_space_group_name_Hall '-F 4 2 3'
_cell_length_a 7.141
_cell_length_b 7.141
_cell_length_c 7.141
_cell_angle_alpha 90.00
_cell_angle_beta 90.00
_cell_angle_gamma 90.00
loop_
_atom_site_label
_atom_site_type_symbol
_atom_site_fract_x
_atom_site_fract_y
_atom_site_fract_z
_atom_site_occupancy
Ce1 Ce 0.000 0.000 0.000 1
Pa1 Pa 0.250 0.250 0.250 1
Ti1 Ti 0.000 0.000 0.500 1

No. 6
# Ce2PaTi | Alexandria | PBE-GGA | relaxed
# - energy relative to the lowest polymorph listed for this composition (meV per atom) = 123
# - uncorrected energy (eV/cell) = -84.64
data_Ce2PaTi
_symmetry_space_group_name_H-M 'R -3 m'
_symmetry_Int_Tables_number 166
_symmetry_space_group_name_Hall '-R 3 2"'
_cell_length_a 3.0728
_cell_length_b 3.0728
_cell_length_c 34.1735
_cell_angle_alpha 90.00
_cell_angle_beta 90.00
_cell_angle_gamma 120.00
loop_
_atom_site_label
_atom_site_type_symbol
_atom_site_fract_x
_atom_site_fract_y
_atom_site_fract_z
_atom_site_occupancy
Ce1 Ce 0.0000 0.0000 0.0795 1
Pa1 Pa 0.0000 0.0000 0.5000 1
Ti1 Ti 0.0000 0.0000 0.0000 1

No. 7
# Ce2PaTi | Alexandria | PBE-GGA | relaxed
# - energy relative to the lowest polymorph listed for this composition (meV per atom) = 165
# - uncorrected energy (eV/cell) = -112.19
data_Ce2PaTi
_symmetry_space_group_name_H-M 'F m -3 m'
_symmetry_Int_Tables_number 225
_symmetry_space_group_name_Hall '-F 4 2 3'
_cell_length_a 7.195
_cell_length_b 7.195
_cell_length_c 7.195
_cell_angle_alpha 90.00
_cell_angle_beta 90.00
_cell_angle_gamma 90.00
loop_
_atom_site_label
_atom_site_type_symbol
_atom_site_fract_x
_atom_site_fract_y
_atom_site_fract_z
_atom_site_occupancy
Ce1 Ce 0.250 0.250 0.250 1
Pa1 Pa 0.000 0.000 0.000 1
Ti1 Ti 0.000 0.000 0.500 1

No. 8
# CePa2Tl | Alexandria | PBE-GGA | relaxed
# - energy relative to the lowest polymorph listed for this composition (meV per atom) = 0
# - uncorrected energy (eV/cell) = -26.85
data_CePa2Tl
_symmetry_space_group_name_H-M 'P 4/m m m'
_symmetry_Int_Tables_number 123
_symmetry_space_group_name_Hall '-P 4 2'
_cell_length_a 4.575
_cell_length_b 4.575
_cell_length_c 4.945
_cell_angle_alpha 90.00
_cell_angle_beta 90.00
_cell_angle_gamma 90.00
loop_
_atom_site_label
_atom_site_type_symbol
_atom_site_fract_x
_atom_site_fract_y
_atom_site_fract_z
_atom_site_occupancy
Ce1 Ce 0.000 0.000 0.000 1
Pa1 Pa 0.000 0.500 0.500 1
Tl1 Tl 0.500 0.500 0.000 1

No. 9
# Ce12PaTl6 | Alexandria | PBE-GGA | relaxed
# - uncorrected energy (eV/cell) = -285.42
data_Ce12PaTl6
_symmetry_space_group_name_H-M 'R -3'
_symmetry_Int_Tables_number 148
_symmetry_space_group_name_Hall '-R 3'
_cell_length_a 13.9464
_cell_length_b 13.9464
_cell_length_c 9.5400
_cell_angle_alpha 90.00
_cell_angle_beta 90.00
_cell_angle_gamma 120.00
loop_
_atom_site_label
_atom_site_type_symbol
_atom_site_fract_x
_atom_site_fract_y
_atom_site_fract_z
_atom_site_occupancy
Ce1 Ce 0.0448 0.5927 0.0908 1
Ce2 Ce 0.0773 0.5721 0.7108 1
Pa1 Pa 0.0000 0.0000 0.0000 1
Tl1 Tl 0.0486 0.8914 0.7210 1

No. 10
# CePa2Tl | Alexandria | PBE-GGA | relaxed
# - energy relative to the lowest polymorph listed for this composition (meV per atom) = 195
# - uncorrected energy (eV/cell) = -104.26
data_CePa2Tl
_symmetry_space_group_name_H-M 'F m -3 m'
_symmetry_Int_Tables_number 225
_symmetry_space_group_name_Hall '-F 4 2 3'
_cell_length_a 7.405
_cell_length_b 7.405
_cell_length_c 7.405
_cell_angle_alpha 90.00
_cell_angle_beta 90.00
_cell_angle_gamma 90.00
loop_
_atom_site_label
_atom_site_type_symbol
_atom_site_fract_x
_atom_site_fract_y
_atom_site_fract_z
_atom_site_occupancy
Ce1 Ce 0.000 0.000 0.000 1
Pa1 Pa 0.250 0.250 0.250 1
Tl1 Tl 0.000 0.000 0.500 1

No. 11
# CeTm2Pa | Alexandria | PBE-GGA | relaxed
# - energy relative to the lowest polymorph listed for this composition (meV per atom) = 45
# - uncorrected energy (eV/cell) = -23.57
data_CeTm2Pa
_symmetry_space_group_name_H-M 'P 4/m m m'
_symmetry_Int_Tables_number 123
_symmetry_space_group_name_Hall '-P 4 2'
_cell_length_a 4.707
_cell_length_b 4.707
_cell_length_c 5.036
_cell_angle_alpha 90.00
_cell_angle_beta 90.00
_cell_angle_gamma 90.00
loop_
_atom_site_label
_atom_site_type_symbol
_atom_site_fract_x
_atom_site_fract_y
_atom_site_fract_z
_atom_site_occupancy
Ce1 Ce 0.000 0.000 0.000 1
Tm1 Tm 0.000 0.500 0.500 1
Pa1 Pa 0.500 0.500 0.000 1

No. 12
# CeTm2Pa | Alexandria | PBE-GGA | relaxed
# - energy relative to the lowest polymorph listed for this composition (meV per atom) = 110
# - uncorrected energy (eV/cell) = -69.92
data_CeTm2Pa
_symmetry_space_group_name_H-M 'R -3 m'
_symmetry_Int_Tables_number 166
_symmetry_space_group_name_Hall '-R 3 2"'
_cell_length_a 3.2654
_cell_length_b 3.2654
_cell_length_c 36.1809
_cell_angle_alpha 90.00
_cell_angle_beta 90.00
_cell_angle_gamma 120.00
loop_
_atom_site_label
_atom_site_type_symbol
_atom_site_fract_x
_atom_site_fract_y
_atom_site_fract_z
_atom_site_occupancy
Ce1 Ce 0.0000 0.0000 0.0000 1
Tm1 Tm 0.0000 0.0000 0.4119 1
Pa1 Pa 0.0000 0.0000 0.5000 1

No. 13
# CeTm2Pa | Alexandria | PBE-GGA | relaxed
# - energy relative to the lowest polymorph listed for this composition (meV per atom) = 0
# - uncorrected energy (eV/cell) = -23.75
data_CeTm2Pa
_symmetry_space_group_name_H-M 'P 4/m m m'
_symmetry_Int_Tables_number 123
_symmetry_space_group_name_Hall '-P 4 2'
_cell_length_a 3.334
_cell_length_b 3.334
_cell_length_c 10.222
_cell_angle_alpha 90.00
_cell_angle_beta 90.00
_cell_angle_gamma 90.00
loop_
_atom_site_label
_atom_site_type_symbol
_atom_site_fract_x
_atom_site_fract_y
_atom_site_fract_z
_atom_site_occupancy
Ce1 Ce 0.000 0.000 0.000 1
Tm1 Tm 0.500 0.500 0.265 1
Pa1 Pa 0.000 0.000 0.500 1

No. 14
# CeUPa | Alexandria | PBE-GGA | relaxed
# - energy relative to the lowest polymorph listed for this composition (meV per atom) = 104
# - uncorrected energy (eV/cell) = -104.35
data_CeUPa
_symmetry_space_group_name_H-M 'C 1 m 1'
_symmetry_Int_Tables_number 8
_cell_length_a 10.205
_cell_length_b 6.257
_cell_length_c 5.292
_cell_angle_alpha 90.00
_cell_angle_beta 120.82
_cell_angle_gamma 90.00
loop_
_symmetry_equiv_pos_as_xyz
'x,y,z'
'x,-y,z'
'x+1/2,y+1/2,z'
'x+1/2,-y+1/2,z'
loop_
_atom_site_label
_atom_site_type_symbol
_atom_site_fract_x
_atom_site_fract_y
_atom_site_fract_z
_atom_site_occupancy
Ce1 Ce 0.000 0.000 0.000 1
Ce2 Ce 0.020 0.500 0.019 1
U1 U 0.347 0.200 0.347 1
Pa1 Pa 0.172 0.229 0.671 1

no.,ΔH_f (0 K) (eV per atom)
1,0.2185
2,0.1866
3,0.2140
4,0.1518
5,0.2401
6,0.2614
7,0.3029
8,0.1111
9,-0.0126
10,0.3066
11,0.2016
12,0.2669
13,0.1568
14,0.2105